DFT (PBE-GGA) results for a relaxed structure of CeDy3Ho6.

Lattice parameters (Å, degrees): 6.1309 10.8488 10.8488 119.33 90.00 90.00
With the nearest neighbours (Å) after each atom.
Sites, in units of the cell vectors:
Ce 0.1485 0.2082 0.7918  7 Ho 3.17-3.47, 3 Dy 3.21-3.41
Ce 0.6485 0.7918 0.2082  7 Ho 3.17-3.47, 3 Dy 3.21-3.41
Dy 0.4518 0.9393 0.7179  1 Ce 3.21, 5 Ho 3.28-3.54
Dy 0.9518 0.7179 0.9393  1 Ce 3.21, 5 Ho 3.28-3.54
Dy 0.0676 0.3884 0.6116  5 Ho 3.33-3.58, 1 Ce 3.41, 2 Dy 3.67
Dy 0.5676 0.6116 0.3884  5 Ho 3.33-3.58, 1 Ce 3.41, 2 Dy 3.67
Dy 0.9518 0.0607 0.2821  1 Ce 3.21, 5 Ho 3.28-3.54
Dy 0.4518 0.2821 0.0607  1 Ce 3.21, 5 Ho 3.28-3.54
Ho 0.0313 0.7096 0.6182  6 Ho 3.37-3.76, 4 Dy 3.37-3.58
Ho 0.5313 0.6182 0.7096  6 Ho 3.37-3.76, 4 Dy 3.37-3.58
Ho 0.3738 0.5450 0.9646  2 Ce 3.17-3.47, 5 Ho 3.22-3.42, 2 Dy 3.28-3.52
Ho 0.8738 0.9646 0.5450  2 Ce 3.17-3.47, 5 Ho 3.22-3.42, 2 Dy 3.28-3.52
Ho 0.4211 0.9506 0.0494  1 Ce 3.28, 4 Dy 3.54-3.62, 2 Ho 3.58
Ho 0.6342 0.2813 0.7187  4 Ho 3.22-3.34, 2 Ce 3.28-3.44, 1 Dy 3.33
Ho 0.1342 0.7187 0.2813  4 Ho 3.22-3.34, 2 Ce 3.28-3.44, 1 Dy 3.33
Ho 0.9211 0.0494 0.9506  1 Ce 3.28, 4 Dy 3.54-3.62, 2 Ho 3.58
Ho 0.3738 0.0354 0.4550  2 Ce 3.17-3.47, 5 Ho 3.22-3.42, 2 Dy 3.28-3.52
Ho 0.8738 0.4550 0.0354  2 Ce 3.17-3.47, 5 Ho 3.22-3.42, 2 Dy 3.28-3.52
Ho 0.0313 0.3818 0.2904  6 Ho 3.37-3.76, 4 Dy 3.37-3.58
Ho 0.5313 0.2904 0.3818  6 Ho 3.37-3.76, 4 Dy 3.37-3.58

Offset from the most stable computed form = 0 meV per atom
V = 31.45 Å³/atom
Final energy = -91.2 eV per cell
ΔH_f (0 K) = 162.1 meV/atom
N(E_F) = 33.0 states/eV per cell